Compound: NdMg2NbN4
Source: Alexandria via LeMat-Bulk
Functional: PBE
Structure: optimized geometry

The structure belongs to space group Pmn2_1 (No. 31); the cell edges are 7.3269, 6.0777 and 5.4232 Å and the angles 90.00°, 90.00° and 90.00°. Symmetry generates all atoms from Nd at (0.0000, 0.1682, 0.0000), Mg at (0.2490, 0.3339, 0.5138), Nb at (0.0000, 0.8106, 0.5196), N at (0.0000, 0.1358, 0.4564), N at (0.0000, 0.7953, 0.8808) and N at (0.2213, 0.6617, 0.4010).



Compound: Mg2NpNbN4
Source: Alexandria via LeMat-Bulk
Functional: PBE
Structure: optimized geometry

The structure belongs to space group P2/m (No. 10); the cell edges are 5.5423, 3.2031 and 5.5466 Å and the angles 90.00°, 108.91° and 90.00°. Symmetry generates all atoms from Mg at (0.0000, 0.0000, 0.0000), Mg at (0.5000, 0.5000, 0.0000), Np at (0.0000, 0.5000, 0.5000), Nb at (0.5000, 0.0000, 0.5000), N at (0.2531, 0.5000, 0.2591) and N at (0.2568, 0.0000, 0.7498).



Compound: Mg2Np3NbN6
Source: Alexandria via LeMat-Bulk
Functional: PBE
Structure: optimized geometry

The structure belongs to space group C2/m (No. 12); the cell edges are 5.7557, 9.9688 and 5.6101 Å and the angles 90.00°, 109.99° and 90.00°. Symmetry generates all atoms from Mg at (0.0000, 0.1666, 0.0000), Np at (0.0000, 0.0000, 0.5000), Np at (0.0000, 0.3321, 0.5000), Nb at (0.0000, 0.5000, 0.0000), N at (0.2445, 0.3360, 0.2400) and N at (0.2472, 0.5000, 0.7595).



Compound: MgNbN2O
Source: Alexandria via LeMat-Bulk
Functional: PBE
Structure: optimized geometry

The structure belongs to space group P4/mmm (No. 123); the cell edges are 3.8525, 3.8525 and 3.6146 Å and the angles 90.00°, 90.00° and 90.00°. Symmetry generates all atoms from Mg at (0.0000, 0.0000, 0.0000), Nb at (0.5000, 0.5000, 0.5000), N at (0.0000, 0.5000, 0.0000) and O at (0.0000, 0.0000, 0.5000).



Compound: MgNbN2O
Source: Alexandria via LeMat-Bulk
Functional: PBE
Structure: optimized geometry

The structure belongs to space group P4/mmm (No. 123); the cell edges are 4.0619, 4.0619 and 3.9912 Å and the angles 90.00°, 90.00° and 90.00°. Symmetry generates all atoms from Mg at (0.0000, 0.0000, 0.0000), Nb at (0.5000, 0.5000, 0.5000), N at (0.0000, 0.5000, 0.5000) and O at (0.5000, 0.5000, 0.0000).



Compound: MgNbP2N6
Source: Alexandria via LeMat-Bulk
Functional: PBE
Structure: optimized geometry

The structure belongs to space group C2/c (No. 15); the cell edges are 10.3377, 8.9645 and 5.4030 Å and the angles 90.00°, 112.72° and 90.00°. Symmetry generates all atoms from Mg at (0.0000, 0.0997, 0.2500), Nb at (0.0000, 0.2553, 0.7500), P at (0.2073, 0.4203, 0.1815), N at (0.1106, 0.2746, 0.1543), N at (0.1234, 0.1008, 0.6801) and N at (0.1564, 0.4549, 0.8518).



Compound: MgPa2NbN6
Source: Alexandria via LeMat-Bulk
Functional: PBE
Structure: optimized geometry

The structure belongs to space group R3 (No. 146, hexagonal axes); the cell edges are 5.6609, 5.6609 and 14.6342 Å and the angles 90.00°, 90.00° and 120.00°. Symmetry generates all atoms from Mg at (0.0000, 0.0000, 0.0000), Pa at (0.0000, 0.0000, 0.2842), Pa at (0.0000, 0.0000, 0.7810), Nb at (0.0000, 0.0000, 0.5020), N at (0.0513, 0.3482, 0.5563) and N at (0.0541, 0.6763, 0.0602).



Compound: Mg2PaNb2N6
Source: Alexandria via LeMat-Bulk
Functional: PBE
Structure: optimized geometry

The structure belongs to space group C2/m (No. 12); the cell edges are 5.7569, 9.4836 and 5.7417 Å and the angles 90.00°, 114.98° and 90.00°. Symmetry generates all atoms from Mg at (0.0000, 0.1549, 0.0000), Pa at (0.0000, 0.5000, 0.0000), Nb at (0.0000, 0.3182, 0.5000), N at (0.2161, 0.5000, 0.7676) and N at (0.2204, 0.3154, 0.2667).



| no. | formation energy from raw total energies (eV/atom) | Fermi-level density of states (states/eV/f.u.) |
| --- | --- | --- |
| 1 | -1.073 | 0.0 |
| 2 | -0.971 | 4.7 |
| 3 | -0.991 | 15.8 |
| 4 | 0.394 | 2.1 |
| 5 | -0.629 | 3.9 |
| 6 | -0.475 | 6.0 |
| 7 | -1.130 | 7.1 |
| 8 | -1.024 | 3.8 |